(1)
# PBE Cs3PrHo2Te6, relaxed
# Formation energy (no corrections)   -1389 meV per atom
# Space-group type   C2/m
data_Cs3PrHo2Te6
_space_group_name_H-M_alt 'P 1'
_space_group_IT_number 1
_cell_length_a 7.962
_cell_length_b 7.962
_cell_length_c 9.316
_cell_angle_alpha 98.20
_cell_angle_beta 98.20
_cell_angle_gamma 120.00
loop_
_space_group_symop_operation_xyz
'x,y,z'
loop_
_atom_site_label
_atom_site_fract_x
_atom_site_fract_y
_atom_site_fract_z
Cs1 0.164 0.836 0.500
Cs2 0.836 0.164 0.500
Cs3 0.500 0.500 0.500
Pr1 0.000 0.000 0.000
Ho1 0.333 0.667 0.000
Ho2 0.667 0.333 0.000
Te1 0.936 0.593 0.809
Te2 0.720 0.720 0.190
Te3 0.064 0.407 0.191
Te4 0.593 0.936 0.809
Te5 0.280 0.280 0.810
Te6 0.407 0.064 0.191

(2)
# PBE VPBrN, relaxed
# Formation energy (no corrections)   -363 meV per atom
# Space-group type   Cm
data_VPBrN
_space_group_name_H-M_alt 'P 1'
_space_group_IT_number 1
_cell_length_a 7.057
_cell_length_b 3.389
_cell_length_c 8.082
_cell_angle_alpha 90.00
_cell_angle_beta 109.66
_cell_angle_gamma 90.00
loop_
_space_group_symop_operation_xyz
'x,y,z'
loop_
_atom_site_label
_atom_site_fract_x
_atom_site_fract_y
_atom_site_fract_z
V1 0.590 0.000 0.740
V2 0.590 0.500 0.240
P1 0.381 0.000 0.055
P2 0.381 0.500 0.555
Br1 0.877 0.000 0.321
Br2 0.877 0.500 0.821
N1 0.483 0.000 0.897
N2 0.483 0.500 0.397

(3)
# PBE Nd3Sm2YAs6, relaxed
# Formation energy from the elements   -1522 meV per atom
# Space-group type   C2/m
data_Nd3Sm2YAs6
_space_group_name_H-M_alt 'P 1'
_space_group_IT_number 1
_cell_length_a 4.232
_cell_length_b 8.455
_cell_length_c 9.455
_cell_angle_alpha 102.91
_cell_angle_beta 102.93
_cell_angle_gamma 90.00
loop_
_space_group_symop_operation_xyz
'x,y,z'
loop_
_atom_site_label
_atom_site_fract_x
_atom_site_fract_y
_atom_site_fract_z
Nd1 0.500 0.500 0.000
Nd2 0.833 0.166 0.666
Nd3 0.167 0.834 0.334
Sm1 0.834 0.667 0.668
Sm2 0.166 0.333 0.332
Y1 0.500 0.000 0.000
As1 0.335 0.916 0.671
As2 0.667 0.581 0.335
As3 0.665 0.084 0.329
As4 0.000 0.244 0.001
As5 0.000 0.756 0.999
As6 0.333 0.419 0.665

(4)
# PBE DySn6Te8, relaxed
# Formation energy (no corrections)   -358 meV per atom
# Space-group type   P-3
data_DySn6Te8
_space_group_name_H-M_alt 'P 1'
_space_group_IT_number 1
_cell_length_a 6.378
_cell_length_b 10.120
_cell_length_c 10.120
_cell_angle_alpha 120.00
_cell_angle_beta 90.00
_cell_angle_gamma 90.00
loop_
_space_group_symop_operation_xyz
'x,y,z'
loop_
_atom_site_label
_atom_site_fract_x
_atom_site_fract_y
_atom_site_fract_z
Dy1 0.500 0.000 0.000
Sn1 0.669 0.676 0.075
Sn2 0.669 0.925 0.600
Sn3 0.669 0.400 0.324
Sn4 0.331 0.324 0.925
Sn5 0.331 0.075 0.400
Sn6 0.331 0.600 0.676
Te1 0.761 0.007 0.263
Te2 0.761 0.737 0.744
Te3 0.761 0.256 0.993
Te4 0.239 0.993 0.737
Te5 0.239 0.263 0.256
Te6 0.239 0.744 0.007
Te7 0.545 0.333 0.667
Te8 0.455 0.667 0.333

(5)
# PBE AcZn3Ag3, relaxed
# Formation energy from the elements   -145 meV per atom
# Space-group type   P2_1/m
data_AcZn3Ag3
_space_group_name_H-M_alt 'P 1'
_space_group_IT_number 1
_cell_length_a 4.637
_cell_length_b 9.306
_cell_length_c 9.101
_cell_angle_alpha 131.85
_cell_angle_beta 90.00
_cell_angle_gamma 90.00
loop_
_space_group_symop_operation_xyz
'x,y,z'
loop_
_atom_site_label
_atom_site_fract_x
_atom_site_fract_y
_atom_site_fract_z
Ac1 0.750 0.240 0.594
Ac2 0.250 0.760 0.406
Zn1 0.750 0.759 0.135
Zn2 0.750 0.430 0.081
Zn3 0.750 0.487 0.405
Zn4 0.250 0.241 0.865
Zn5 0.250 0.570 0.919
Zn6 0.250 0.513 0.595
Ag1 0.750 0.696 0.790
Ag2 0.750 0.087 0.141
Ag3 0.750 0.034 0.785
Ag4 0.250 0.304 0.210
Ag5 0.250 0.913 0.859
Ag6 0.250 0.966 0.215

(6)
# PBE TlCdFe2, relaxed
# Formation energy from the elements   523 meV per atom
# Space-group type   P2/m
data_TlCdFe2
_space_group_name_H-M_alt 'P 1'
_space_group_IT_number 1
_cell_length_a 4.099
_cell_length_b 4.089
_cell_length_c 5.799
_cell_angle_alpha 44.67
_cell_angle_beta 90.00
_cell_angle_gamma 90.00
loop_
_space_group_symop_operation_xyz
'x,y,z'
loop_
_atom_site_label
_atom_site_fract_x
_atom_site_fract_y
_atom_site_fract_z
Cd1 0.000 0.000 0.500
Fe1 0.000 0.000 0.000
Fe2 0.500 0.500 0.000
Tl1 0.500 0.500 0.500

Let's list magnetization in order: 0.00 0.00 0.00 0.00 0.00 5.30 μB/f.u..